[1]
Material: NdSmErHg
Method: DFT, PBE-GGA
State: optimized geometry

Computed properties:
ΔH_f (0 K)   -231 meV/atom

CIF file:
```
data_NdSmErHg
_chemical_formula_sum 'Nd1 Sm1 Er1 Hg1'
_cell_length_a 3.673
_cell_length_b 3.673
_cell_length_c 8.902
_cell_angle_alpha 90.00
_cell_angle_beta 90.00
_cell_angle_gamma 90.00
_space_group_name_H-M_alt 'P 4 m m'
_space_group_IT_number 99
loop_
_space_group_symop_operation_xyz
'x,y,z'
'-y,x,z'
'-x,-y,z'
'y,-x,z'
'-x,y,z'
'y,x,z'
'x,-y,z'
'-y,-x,z'
loop_
_atom_site_label
_atom_site_type_symbol
_atom_site_fract_x
_atom_site_fract_y
_atom_site_fract_z
_atom_site_occupancy
Nd1 Nd 0.000 0.000 0.000 1
Sm1 Sm 0.500 0.500 0.713 1
Er1 Er 0.500 0.500 0.279 1
Hg1 Hg 0.000 0.000 0.482 1
```



[2]
Material: LiPm2Cu2Pd5
Method: DFT, PBE-GGA
State: optimized geometry

Computed properties:
ΔH_f (0 K)   -564 meV/atom

CIF file:
```
data_LiPm2Cu2Pd5
_chemical_formula_sum 'Li2 Pm4 Cu4 Pd10'
_cell_length_a 9.483
_cell_length_b 9.483
_cell_length_c 3.941
_cell_angle_alpha 90.00
_cell_angle_beta 90.00
_cell_angle_gamma 90.00
_space_group_name_H-M_alt 'P 4/m b m'
_space_group_IT_number 127
_space_group_name_Hall '-P 4 2ab'
loop_
_atom_site_label
_atom_site_type_symbol
_atom_site_fract_x
_atom_site_fract_y
_atom_site_fract_z
_atom_site_occupancy
Li1 Li 0.000 0.000 0.000 1
Pm1 Pm 0.178 0.322 0.000 1
Cu1 Cu 0.119 0.619 0.000 1
Pd1 Pd 0.000 0.500 0.500 1
Pd2 Pd 0.067 0.796 0.500 1
```



[3]
Material: ErPdO
Method: DFT, PBE-GGA
State: optimized geometry

Computed properties:
Formation energy from raw total energies   -2.11 eV/atom

CIF file:
```
data_ErPdO
_chemical_formula_sum 'Er4 Pd4 O4'
_cell_length_a 17.537
_cell_length_b 3.191
_cell_length_c 3.192
_cell_angle_alpha 90.00
_cell_angle_beta 90.00
_cell_angle_gamma 90.00
_space_group_name_H-M_alt 'P n m a'
_space_group_IT_number 62
loop_
_space_group_symop_operation_xyz
'x,y,z'
'-x,-y,-z'
'-x+1/2,-y,z+1/2'
'x+1/2,y,-z+1/2'
'x+1/2,-y+1/2,-z+1/2'
'-x+1/2,y+1/2,z+1/2'
'-x,y+1/2,-z'
'x,-y+1/2,z'
loop_
_atom_site_label
_atom_site_type_symbol
_atom_site_fract_x
_atom_site_fract_y
_atom_site_fract_z
_atom_site_occupancy
Er1 Er 0.167 0.250 0.247 1
Pd1 Pd 0.047 0.750 0.750 1
O1 O 0.199 0.750 0.747 1
```



[4]
Material: MnCdHg2
Method: DFT, PBE-GGA
State: optimized geometry

Computed properties:
ΔH_f (0 K)   259 meV/atom

CIF file:
```
data_MnCdHg2
_chemical_formula_sum 'Mn2 Cd2 Hg4'
_cell_length_a 3.087
_cell_length_b 5.495
_cell_length_c 10.076
_cell_angle_alpha 90.00
_cell_angle_beta 90.00
_cell_angle_gamma 90.00
_space_group_name_H-M_alt 'I m m m'
_space_group_IT_number 71
_space_group_name_Hall '-I 2 2'
loop_
_atom_site_label
_atom_site_type_symbol
_atom_site_fract_x
_atom_site_fract_y
_atom_site_fract_z
_atom_site_occupancy
Mn1 Mn 0.000 0.000 0.000 1
Cd1 Cd 0.000 0.000 0.500 1
Hg1 Hg 0.000 0.500 0.269 1
```



[5]
Material: LaNd2YTh
Method: DFT, PBE-GGA
State: optimized geometry

Computed properties:
ΔH_f (0 K)   286 meV/atom

CIF file:
```
data_LaNd2YTh
_chemical_formula_sum 'La2 Nd4 Y2 Th2'
_cell_length_a 8.694
_cell_length_b 6.509
_cell_length_c 6.466
_cell_angle_alpha 90.00
_cell_angle_beta 98.45
_cell_angle_gamma 90.00
_space_group_name_H-M_alt 'P 1 2/c 1'
_space_group_IT_number 13
loop_
_space_group_symop_operation_xyz
'x,y,z'
'-x,-y,-z'
'-x,y,-z+1/2'
'x,-y,z+1/2'
loop_
_atom_site_label
_atom_site_type_symbol
_atom_site_fract_x
_atom_site_fract_y
_atom_site_fract_z
_atom_site_occupancy
La1 La 0.000 0.000 0.000 1
Nd1 Nd 0.315 0.314 0.201 1
Y1 Y 0.500 0.170 0.750 1
Th1 Th 0.000 0.452 0.750 1
```



[6]
Material: U2Sn2AuSe2
Method: DFT, PBE-GGA
State: optimized geometry

Computed properties:
Formation energy from raw total energies   -0.06 eV/atom

CIF file:
```
data_U2Sn2AuSe2
_chemical_formula_sum 'U2 Sn2 Au1 Se2'
_cell_length_a 4.4716
_cell_length_b 4.4716
_cell_length_c 13.3920
_cell_angle_alpha 90.00
_cell_angle_beta 90.00
_cell_angle_gamma 120.00
_space_group_name_H-M_alt 'P -3 m 1'
_space_group_IT_number 164
_space_group_name_Hall '-P 3 2"'
loop_
_atom_site_label
_atom_site_type_symbol
_atom_site_fract_x
_atom_site_fract_y
_atom_site_fract_z
_atom_site_occupancy
U1 U 0.3333 0.6667 0.1533 1
Sn1 Sn 0.0000 0.0000 0.3049 1
Au1 Au 0.0000 0.0000 0.5000 1
Se1 Se 0.3333 0.6667 0.9234 1
```



[7]
Material: ScGa2Cl8
Method: DFT, PBE-GGA
State: optimized geometry

Computed properties:
Formation energy from raw total energies   -1.33 eV/atom

CIF file:
```
data_ScGa2Cl8
_chemical_formula_sum 'Sc2 Ga4 Cl16'
_cell_length_a 12.811
_cell_length_b 9.064
_cell_length_c 6.307
_cell_angle_alpha 90.00
_cell_angle_beta 97.01
_cell_angle_gamma 90.00
_space_group_name_H-M_alt 'C 1 2/m 1'
_space_group_IT_number 12
loop_
_space_group_symop_operation_xyz
'x,y,z'
'-x,-y,-z'
'-x,y,-z'
'x,-y,z'
'x+1/2,y+1/2,z'
'-x+1/2,-y+1/2,-z'
'-x+1/2,y+1/2,-z'
'x+1/2,-y+1/2,z'
loop_
_atom_site_label
_atom_site_type_symbol
_atom_site_fract_x
_atom_site_fract_y
_atom_site_fract_z
_atom_site_occupancy
Sc1 Sc 0.000 0.000 0.000 1
Ga1 Ga 0.188 0.000 0.641 1
Cl1 Cl 0.092 0.183 0.778 1
Cl2 Cl 0.146 0.500 0.250 1
Cl3 Cl 0.168 0.000 0.272 1
```



[8]
Material: MnAlTl2Tc
Method: DFT, PBE-GGA
State: optimized geometry

Computed properties:
ΔH_f (0 K)   1102 meV/atom

CIF file:
```
data_MnAlTl2Tc
_chemical_formula_sum 'Mn1 Al1 Tl2 Tc1'
_cell_length_a 5.059
_cell_length_b 5.059
_cell_length_c 4.686
_cell_angle_alpha 90.00
_cell_angle_beta 90.00
_cell_angle_gamma 90.00
_space_group_name_H-M_alt 'P 4/m m m'
_space_group_IT_number 123
_space_group_name_Hall '-P 4 2'
loop_
_atom_site_label
_atom_site_type_symbol
_atom_site_fract_x
_atom_site_fract_y
_atom_site_fract_z
_atom_site_occupancy
Mn1 Mn 0.000 0.000 0.000 1
Al1 Al 0.000 0.000 0.500 1
Tl1 Tl 0.000 0.500 0.000 1
Tc1 Tc 0.500 0.500 0.500 1
```



[9]
Material: BeTeP2Cl
Method: DFT, PBE-GGA
State: optimized geometry

Computed properties:
Formation energy from raw total energies   0.36 eV/atom

CIF file:
```
data_BeTeP2Cl
_chemical_formula_sum 'Be1 Te1 P2 Cl1'
_cell_length_a 4.616
_cell_length_b 4.616
_cell_length_c 4.207
_cell_angle_alpha 90.00
_cell_angle_beta 90.00
_cell_angle_gamma 90.00
_space_group_name_H-M_alt 'P 4/m m m'
_space_group_IT_number 123
_space_group_name_Hall '-P 4 2'
loop_
_atom_site_label
_atom_site_type_symbol
_atom_site_fract_x
_atom_site_fract_y
_atom_site_fract_z
_atom_site_occupancy
Be1 Be 0.000 0.000 0.000 1
Te1 Te 0.500 0.500 0.500 1
P1 P 0.000 0.500 0.000 1
Cl1 Cl 0.000 0.000 0.500 1
```



[10]
Material: ErTm5Ru3
Method: DFT, PBE-GGA
State: optimized geometry

Computed properties:
ΔH_f (0 K)   -240 meV/atom

CIF file:
```
data_ErTm5Ru3
_chemical_formula_sum 'Er4 Tm20 Ru12'
_cell_length_a 12.127
_cell_length_b 8.905
_cell_length_c 9.814
_cell_angle_alpha 90.00
_cell_angle_beta 112.63
_cell_angle_gamma 90.00
_space_group_name_H-M_alt 'C 1 2/m 1'
_space_group_IT_number 12
loop_
_space_group_symop_operation_xyz
'x,y,z'
'-x,-y,-z'
'-x,y,-z'
'x,-y,z'
'x+1/2,y+1/2,z'
'-x+1/2,-y+1/2,-z'
'-x+1/2,y+1/2,-z'
'x+1/2,-y+1/2,z'
loop_
_atom_site_label
_atom_site_type_symbol
_atom_site_fract_x
_atom_site_fract_y
_atom_site_fract_z
_atom_site_occupancy
Er1 Er 0.101 0.000 0.300 1
Tm1 Tm 0.000 0.301 0.000 1
Tm2 Tm 0.067 0.500 0.368 1
Tm3 Tm 0.166 0.199 0.668 1
Tm4 Tm 0.233 0.000 0.033 1
Ru1 Ru 0.000 0.000 0.000 1
Ru2 Ru 0.000 0.000 0.500 1
Ru3 Ru 0.165 0.500 0.667 1
Ru4 Ru 0.167 0.500 0.167 1
```



Ordered uncorrected energy results: -3.819; -5.121; -7.013; -2.413; -5.383; -5.888; -3.795; -4.500; -3.544; -6.324; unit eV/atom.